1.
A plane-wave DFT calculation with PBE was carried out for a relaxed In2Hg5 crystal.

Unit cell a=6.4490 b=6.4490 c=17.6413 alpha=96.56 beta=96.56 gamma=31.94
Last column: nearest neighbours and their distance in Å.
Element x y z (fractional)
1 In 0.1815 0.6829 0.6102  6 Hg 3.06-3.13
2 In 0.3171 0.8185 0.8898  6 Hg 3.06-3.13
3 In 0.6829 0.1815 0.1102  6 Hg 3.06-3.13
4 In 0.8185 0.3171 0.3898  6 Hg 3.06-3.13
5 Hg 0.0336 0.5355 0.3227  1 In 3.06, 5 Hg 3.10-3.15
6 Hg 0.1092 0.6077 0.9671  3 Hg 3.05-3.15, 3 In 3.07-3.13
7 Hg 0.2504 0.7496 0.2500  4 In 3.07, 2 Hg 3.10
8 Hg 0.3923 0.8908 0.5329  3 Hg 3.05-3.15, 3 In 3.07-3.13
9 Hg 0.4645 0.9664 0.1773  1 In 3.06, 5 Hg 3.10-3.15
10 Hg 0.5355 0.0336 0.8227  1 In 3.06, 5 Hg 3.10-3.15
11 Hg 0.6077 0.1092 0.4671  3 Hg 3.05-3.15, 3 In 3.07-3.13
12 Hg 0.7496 0.2504 0.7500  4 In 3.07, 2 Hg 3.10
13 Hg 0.8908 0.3923 0.0329  3 Hg 3.05-3.15, 3 In 3.07-3.13
14 Hg 0.9664 0.4645 0.6773  1 In 3.06, 5 Hg 3.10-3.15

Density of states at the Fermi level (states/eV per cell): 4.1
Magnetization (μB/atom): 0.0000
V (Å³ per atom): 27.53
DFT formation energy (meV/atom): 10
Distance to the lowest polymorph of the same formula (meV per atom): 0.0



2.
A plane-wave DFT calculation with PBE was carried out for a relaxed LaTa3S crystal.

Unit cell a=4.9717 b=4.9717 c=4.9717 alpha=90.00 beta=90.00 gamma=90.00
Last column: nearest neighbours and their distance in Å.
Element x y z (fractional)
1 La 0.0000 0.0000 0.0000  6 Ta 2.49
2 Ta 0.0000 0.0000 0.5000  2 La 2.49
3 Ta 0.0000 0.5000 0.0000  2 La 2.49
4 Ta 0.5000 0.0000 0.0000  2 La 2.49
5 S 0.5000 0.5000 0.5000  12 Ta 3.52

Density of states at the Fermi level (states/eV per cell): 3.7
Magnetization (μB/atom): 0.0000
V (Å³ per atom): 24.58
Distance to the lowest polymorph of the same formula (meV per atom): 2290.6
Uncorrected formation energy (meV per atom): 2510.3



3.
A plane-wave DFT calculation with PBE was carried out for a relaxed SmY2Cu crystal.

Unit cell a=6.8729 b=9.8994 c=6.5394 alpha=90.00 beta=90.00 gamma=90.00
Last column: nearest neighbours and their distance in Å.
Element x y z (fractional)
1 Sm 0.0128 0.2500 0.1368  2 Cu 2.90-2.93
2 Sm 0.4872 0.7500 0.6368  2 Cu 2.90-2.93
3 Sm 0.5128 0.2500 0.3632  2 Cu 2.90-2.93
4 Sm 0.9872 0.7500 0.8632  2 Cu 2.90-2.93
5 Y 0.1839 0.0591 0.6807  2 Cu 2.85-2.92
6 Y 0.1839 0.4409 0.6807  2 Cu 2.85-2.92
7 Y 0.3161 0.5591 0.1807  2 Cu 2.85-2.92
8 Y 0.3161 0.9409 0.1807  2 Cu 2.85-2.92
9 Y 0.6839 0.0591 0.8193  2 Cu 2.85-2.92
10 Y 0.6839 0.4409 0.8193  2 Cu 2.85-2.92
11 Y 0.8161 0.5591 0.3193  2 Cu 2.85-2.92
12 Y 0.8161 0.9409 0.3193  2 Cu 2.85-2.92
13 Cu 0.1051 0.7500 0.4381  4 Y 2.85-2.92, 2 Sm 2.90-2.93
14 Cu 0.3949 0.2500 0.9381  4 Y 2.85-2.92, 2 Sm 2.90-2.93
15 Cu 0.6051 0.7500 0.0619  4 Y 2.85-2.92, 2 Sm 2.90-2.93
16 Cu 0.8949 0.2500 0.5619  4 Y 2.85-2.92, 2 Sm 2.90-2.93

Density of states at the Fermi level (states/eV per cell): 21.1
Magnetization (μB/atom): 0.0000
V (Å³ per atom): 27.81
DFT formation energy (meV/atom): -98
Distance to the lowest polymorph of the same formula (meV per atom): 0.0



4.
A plane-wave DFT calculation with PBE was carried out for a relaxed Sc2CoN crystal.

Unit cell a=7.4260 b=7.4260 c=7.4260 alpha=24.17 beta=24.17 gamma=24.17
Last column: nearest neighbours and their distance in Å.
Element x y z (fractional)
1 Sc 0.1086 0.1086 0.1086  3 N 2.19, 1 Co 2.35
2 Sc 0.8914 0.8914 0.8914  3 N 2.19, 1 Co 2.35
3 Co 0.0000 0.0000 0.0000  2 Sc 2.35
4 N 0.5000 0.5000 0.5000  6 Sc 2.19

Density of states at the Fermi level (states/eV per cell): 3.0
Magnetization (μB/atom): 0.2036
V (Å³ per atom): 15.08
Uncorrected formation energy (meV per atom): -589.0



5.
A plane-wave DFT calculation with PBE was carried out for a relaxed Ac6IrAu3 crystal.

Unit cell a=7.6854 b=8.2090 c=13.1863 alpha=90.00 beta=120.99 gamma=90.00
Last column: nearest neighbours and their distance in Å.
Element x y z (fractional)
1 Ac 0.0826 0.0515 0.2452  1 Ir 2.99, 3 Au 3.24-3.30
2 Ac 0.0826 0.4485 0.7452  1 Ir 2.99, 3 Au 3.24-3.30
3 Ac 0.2338 0.6867 0.0813  1 Ir 3.00, 3 Au 3.15-3.35
4 Ac 0.2338 0.8133 0.5813  1 Ir 3.00, 3 Au 3.15-3.35
5 Ac 0.3764 0.1753 0.0676  1 Ir 2.93, 2 Au 3.11-3.21
6 Ac 0.3764 0.3247 0.5676  1 Ir 2.93, 2 Au 3.11-3.21
7 Ac 0.6236 0.6753 0.4324  1 Ir 2.93, 2 Au 3.11-3.21
8 Ac 0.6236 0.8247 0.9324  1 Ir 2.93, 2 Au 3.11-3.21
9 Ac 0.7662 0.1867 0.4187  1 Ir 3.00, 3 Au 3.15-3.35
10 Ac 0.7662 0.3133 0.9187  1 Ir 3.00, 3 Au 3.15-3.35
11 Ac 0.9174 0.5515 0.2548  1 Ir 2.99, 3 Au 3.24-3.30
12 Ac 0.9174 0.9485 0.7548  1 Ir 2.99, 3 Au 3.24-3.30
13 Ir 0.0000 0.0000 0.0000  6 Ac 2.93-3.00
14 Ir 0.0000 0.5000 0.5000  6 Ac 2.93-3.00
15 Au 0.3248 0.1131 0.7730  6 Ac 3.21-3.41
16 Au 0.3248 0.3869 0.2730  6 Ac 3.21-3.41
17 Au 0.5000 0.0000 0.5000  6 Ac 3.11-3.26
18 Au 0.5000 0.5000 0.0000  6 Ac 3.11-3.26
19 Au 0.6752 0.6131 0.7270  6 Ac 3.21-3.41
20 Au 0.6752 0.8869 0.2270  6 Ac 3.21-3.41

Density of states at the Fermi level (states/eV per cell): 20.3
Magnetization (μB/atom): 0.0000
V (Å³ per atom): 35.66
DFT formation energy (meV/atom): -641
Distance to the lowest polymorph of the same formula (meV per atom): 0.0



6.
A plane-wave DFT calculation with PBE was carried out for a relaxed Ti2CoHRu crystal.

Unit cell a=4.1380 b=4.1380 c=3.4565 alpha=90.00 beta=90.00 gamma=90.00
Last column: nearest neighbours and their distance in Å.
Element x y z (fractional)
1 Ti 0.0000 0.5000 0.0000  2 H 2.07
2 Ti 0.5000 0.0000 0.0000  2 H 2.07
3 Co 0.0000 0.0000 0.5000  8 Ti 2.70, 4 Ru 2.93
4 H 0.5000 0.5000 0.0000  2 Ru 1.73
5 Ru 0.5000 0.5000 0.5000  2 H 1.73

Density of states at the Fermi level (states/eV per cell): 3.6
Magnetization (μB/atom): 0.0000
V (Å³ per atom): 11.84
Distance to the lowest polymorph of the same formula (meV per atom): 128.4